# 1
This record from Alexandria describes Tb12Pr2Dy5 after structural relaxation. The functional is PBE.

Cell: 6.7735 13.0252 12.3751 Å, 139.42 67.74 118.92°
Closest atoms and distances in Å follow each position.
Positions (direct):
Tb: 0.8715 0.0324 0.2812  6 Tb 3.35-3.69, 2 Pr 3.42-3.68, 4 Dy 3.46-3.62
Tb: 0.9269 0.6428 0.0561  6 Tb 3.30-3.64, 1 Dy 3.62
Tb: 0.5200 0.6134 0.9282  6 Tb 3.33-3.69, 3 Dy 3.34-3.64, 1 Pr 3.56
Tb: 0.2905 0.6120 0.4770  3 Dy 3.42-3.59, 6 Tb 3.44-3.75, 2 Pr 3.51-3.81
Tb: 0.8512 0.5926 0.3589  4 Dy 3.41-3.78, 5 Tb 3.41-3.61, 1 Pr 3.77
Tb: 0.6116 0.0317 0.8063  2 Dy 3.29-3.55, 5 Tb 3.30-3.57, 2 Pr 3.63-3.67
Tb: 0.3884 0.9683 0.1937  2 Dy 3.29-3.55, 5 Tb 3.30-3.57, 2 Pr 3.63-3.67
Tb: 0.7095 0.3880 0.5230  3 Dy 3.42-3.59, 6 Tb 3.44-3.75, 2 Pr 3.51-3.81
Tb: 0.1488 0.4074 0.6411  4 Dy 3.41-3.78, 5 Tb 3.41-3.61, 1 Pr 3.77
Tb: 0.0731 0.3572 0.9439  6 Tb 3.30-3.64, 1 Dy 3.62
Tb: 0.4800 0.3866 0.0718  6 Tb 3.33-3.69, 3 Dy 3.34-3.64, 1 Pr 3.56
Tb: 0.1285 0.9676 0.7188  6 Tb 3.35-3.69, 2 Pr 3.42-3.68, 4 Dy 3.46-3.62
Pr: 0.9145 0.1868 0.1164  9 Tb 3.42-3.81, 3 Dy 3.51-3.69
Pr: 0.0855 0.8132 0.8836  9 Tb 3.42-3.81, 3 Dy 3.51-3.69
Dy: 0.6053 0.7470 0.7617  7 Tb 3.29-3.66, 2 Pr 3.51-3.55
Dy: 0.4140 0.7814 0.3197  7 Tb 3.40-3.78, 2 Dy 3.55-3.78
Dy: 0.0000 0.0000 0.5000  8 Tb 3.48-3.78, 4 Dy 3.78-3.87
Dy: 0.5860 0.2186 0.6803  7 Tb 3.40-3.78, 2 Dy 3.55-3.78
Dy: 0.3947 0.2530 0.2383  7 Tb 3.29-3.66, 2 Pr 3.51-3.55

Formation enthalpy at 0 K: 0.09 eV per atom
Offset from the most stable computed form: 0.000 eV/atom
Total magnetic moment: 0.0 μB/f.u.
Space group: P-1 (2)

***

# 2
This record from Alexandria describes LaInP after structural relaxation. The functional is PBE.

Cell: 4.9189 4.9189 4.9189 Å, 60.00 60.00 60.00°
Closest atoms and distances in Å follow each position.
Positions (direct):
In: 0.0000 0.0000 0.0000  4 P 3.01
La: 0.5000 0.5000 0.5000  4 P 3.01
P: 0.2500 0.2500 0.2500  4 In 3.01, 4 La 3.01

Formation enthalpy at 0 K: -0.52 eV per atom
Total magnetic moment: 0.0 μB/f.u.
Space group: F-43m (216)

***

# 3
This record from Alexandria describes NbZnPd3 after structural relaxation. The functional is PBE.

Cell: 4.5427 4.5427 4.5427 Å, 90.00 90.00 90.00°
Closest atoms and distances in Å follow each position.
Positions (direct):
Nb: 0.5000 0.5000 0.5000  12 Pd 3.21
Zn: 0.0000 0.0000 0.0000  6 Pd 2.27
Pd: 0.0000 0.5000 0.0000  2 Zn 2.27
Pd: 0.0000 0.0000 0.5000  2 Zn 2.27
Pd: 0.5000 0.0000 0.0000  2 Zn 2.27

Formation enthalpy at 0 K: 0.68 eV per atom
Offset from the most stable computed form: 0.966 eV/atom
Total magnetic moment: 0.0 μB/f.u.
Space group: Pm-3m (221)

***

What is the formula in the third record?
NbZnPd3

***

Number 2 is which compound?
LaInP

***

What is the total magnetic moment in the third record?
0.0 μB/f.u.

***

Look up the formation enthalpy at 0 K of the third one.
0.68 eV per atom